(1)
Pm2Ga9Co3 | Alexandria via LeMat-Bulk | PBE-GGA | optimized geometry; symmetry = C2/c (15); calculated total energy = -4.627 eV per atom; DOS(E_F) = 16.535 states/eV per cell; formation energy = -0.479 eV/atom
1.0
6.449 -3.709 0.000
6.449 3.709 0.000
-4.336 0.000 9.547
Pm Ga Co
4 18 6
direct
0.085 0.252 0.250
0.252 0.085 0.750
0.748 0.915 0.250
0.915 0.748 0.750
0.024 0.856 0.070
0.144 0.976 0.430
0.193 0.357 0.570
0.207 0.582 0.251
0.315 0.483 0.946
0.357 0.193 0.070
0.370 0.630 0.750
0.418 0.793 0.249
0.483 0.315 0.446
0.517 0.685 0.554
0.582 0.207 0.751
0.630 0.370 0.250
0.643 0.807 0.930
0.685 0.517 0.054
0.793 0.418 0.749
0.807 0.643 0.430
0.856 0.024 0.570
0.976 0.144 0.930
0.000 0.500 0.000
0.160 0.670 0.499
0.330 0.840 0.001
0.500 0.000 0.500
0.670 0.160 0.999
0.840 0.330 0.501

(2)
Pm3GaCo | Alexandria via LeMat-Bulk | PBE-GGA | optimized geometry; symmetry = Pm-3m (221); calculated total energy = -4.940 eV per atom; DOS(E_F) = 5.549 states/eV per cell; formation energy = -0.063 eV/atom; energy above the most stable polymorph in this dataset = 195 meV/atom
1.0
5.194 0.000 0.000
0.000 5.194 0.000
0.000 0.000 5.194
Pm Ga Co
3 1 1
direct
0.000 0.000 0.500
0.000 0.500 0.000
0.500 0.000 0.000
0.500 0.500 0.500
0.000 0.000 0.000

(3)
Pm4GaCo2 | Alexandria via LeMat-Bulk | PBE-GGA | optimized geometry; symmetry = P1 (1); calculated total energy = -5.346 eV per atom; DOS(E_F) = 13.550 states/eV per cell; formation energy = -0.169 eV/atom
1.0
6.852 0.000 0.000
-1.698 6.678 0.000
-2.577 -3.338 7.420
Pm Ga Co
8 2 4
direct
0.000 0.000 0.000
0.009 0.709 0.566
0.308 0.135 0.469
0.367 0.566 0.280
0.460 0.610 0.857
0.526 0.176 0.989
0.762 0.089 0.377
0.923 0.424 0.847
0.630 0.912 0.658
0.894 0.677 0.188
0.133 0.177 0.737
0.320 0.863 0.109
0.649 0.541 0.607
0.966 0.358 0.240

(4)
Pm4GaCo | Alexandria via LeMat-Bulk | PBE-GGA | optimized geometry; symmetry = C2/c (15); calculated total energy = -5.069 eV per atom; DOS(E_F) = 12.993 states/eV per cell; formation energy = -0.214 eV/atom
1.0
4.400 -6.919 0.000
4.400 6.919 0.000
-2.932 0.000 5.354
Pm Ga Co
8 2 2
direct
0.064 0.696 0.914
0.214 0.342 0.679
0.304 0.936 0.586
0.342 0.214 0.179
0.658 0.786 0.821
0.696 0.064 0.414
0.786 0.658 0.321
0.936 0.304 0.086
0.374 0.626 0.250
0.626 0.374 0.750
0.002 0.998 0.750
0.998 0.002 0.250